Record 1
A geometry-optimized AlGa5Cu8 structure. Source: Alexandria, functional PBE-GGA.

a b c (Å): 6.414 6.414 6.414
angles (deg): 108.30 108.30 111.85
Atoms (fractional coordinates):
1 Al 0.000 0.000 0.000
2 Ga 0.220 0.623 0.137
3 Ga 0.377 0.514 0.597
4 Ga 0.486 0.083 0.863
5 Ga 0.750 0.250 0.500
6 Ga 0.917 0.780 0.403
7 Cu 0.121 0.673 0.757
8 Cu 0.158 0.235 0.769
9 Cu 0.327 0.084 0.449
10 Cu 0.466 0.389 0.231
11 Cu 0.611 0.842 0.077
12 Cu 0.635 0.879 0.551
13 Cu 0.765 0.534 0.923
14 Cu 0.916 0.365 0.243

The calculated total energy is -51.32 eV per cell. As for the symmetry: I-4 (82). As for the formation energy from the elements: 0.023 eV/atom.



Record 2
A geometry-optimized MgPb3 structure. Source: Alexandria, functional PBE-GGA.

a b c (Å): 6.968 9.462 7.065
angles (deg): 90.00 90.00 90.00
Atoms (fractional coordinates):
1 Mg 0.004 0.250 0.006
2 Mg 0.496 0.750 0.506
3 Mg 0.504 0.250 0.494
4 Mg 0.996 0.750 0.994
5 Pb 0.001 0.250 0.463
6 Pb 0.248 0.522 0.248
7 Pb 0.248 0.978 0.248
8 Pb 0.252 0.022 0.748
9 Pb 0.252 0.478 0.748
10 Pb 0.499 0.750 0.963
11 Pb 0.501 0.250 0.037
12 Pb 0.748 0.522 0.252
13 Pb 0.748 0.978 0.252
14 Pb 0.752 0.022 0.752
15 Pb 0.752 0.478 0.752
16 Pb 0.999 0.750 0.537

The calculated total energy is -51.06 eV per cell. As for the symmetry: Pnma (62). As for the formation energy from the elements: -0.012 eV/atom.



Record 3
A geometry-optimized Sc7Al2Cd2 structure. Source: Alexandria, functional PBE-GGA.

a b c (Å): 6.199 6.199 7.766
angles (deg): 90.00 90.00 116.21
Atoms (fractional coordinates):
1 Sc 0.000 0.000 0.000
2 Sc 0.000 0.500 0.292
3 Sc 0.000 0.500 0.708
4 Sc 0.500 0.000 0.292
5 Sc 0.500 0.000 0.708
6 Sc 0.500 0.500 0.212
7 Sc 0.500 0.500 0.788
8 Al 0.277 0.723 0.000
9 Al 0.723 0.277 0.000
10 Cd 0.209 0.209 0.500
11 Cd 0.791 0.791 0.500

The calculated total energy is -53.33 eV per cell. As for the symmetry: Cmmm (65). As for the formation energy from the elements: 0.028 eV/atom.



Record 4
A geometry-optimized Ta2InRh structure. Source: Alexandria, functional PBE-GGA.

a b c (Å): 4.000 4.000 4.393
angles (deg): 90.00 90.00 90.00
Atoms (fractional coordinates):
1 Ta 0.000 0.500 0.000
2 Ta 0.500 0.000 0.000
3 In 0.000 0.000 0.500
4 Rh 0.500 0.500 0.500

The calculated total energy is -34.14 eV per cell. As for the symmetry: P4/mmm (123). As for the formation energy from the elements: -0.087 eV/atom.



Record 5
A geometry-optimized NbCuI2N structure. Source: Alexandria, functional PBE-GGA.

a b c (Å): 5.581 5.581 3.533
angles (deg): 90.00 90.00 90.00
Atoms (fractional coordinates):
1 Nb 0.000 0.000 0.000
2 Cu 0.500 0.500 0.500
3 I 0.000 0.500 0.500
4 I 0.500 0.000 0.500
5 N 0.500 0.500 0.000

The calculated total energy is -20.10 eV per cell. As for the symmetry: P4/mmm (123). The raw formation energy comes out at 1098.2 meV per atom.



Record 6
A geometry-optimized Er2B2Ru5W structure. Source: Alexandria, functional PBE-GGA.

a b c (Å): 9.625 9.625 3.092
angles (deg): 90.00 90.00 90.00
Atoms (fractional coordinates):
1 Er 0.176 0.324 0.000
2 Er 0.324 0.824 0.000
3 Er 0.676 0.176 0.000
4 Er 0.824 0.676 0.000
5 B 0.120 0.620 0.000
6 B 0.380 0.120 0.000
7 B 0.620 0.880 0.000
8 B 0.880 0.380 0.000
9 Ru 0.000 0.500 0.500
10 Ru 0.069 0.784 0.500
11 Ru 0.216 0.069 0.500
12 Ru 0.284 0.569 0.500
13 Ru 0.431 0.284 0.500
14 Ru 0.500 0.000 0.500
15 Ru 0.569 0.716 0.500
16 Ru 0.716 0.431 0.500
17 Ru 0.784 0.931 0.500
18 Ru 0.931 0.216 0.500
19 W 0.000 0.000 0.000
20 W 0.500 0.500 0.000

The calculated total energy is -173.07 eV per cell. As for the symmetry: P4/mbm (127). As for the formation energy from the elements: -0.472 eV/atom.



Record 7
A geometry-optimized SrMg3In9 structure. Source: Alexandria, functional PBE-GGA.

a b c (Å): 8.143 8.143 8.005
angles (deg): 98.34 98.34 135.25
Atoms (fractional coordinates):
1 Sr 0.000 0.000 0.000
2 Mg 0.000 0.500 0.000
3 Mg 0.500 0.000 0.000
4 Mg 0.500 0.500 0.500
5 In 0.000 0.000 0.500
6 In 0.002 0.357 0.349
7 In 0.294 0.511 0.786
8 In 0.357 0.002 0.349
9 In 0.489 0.706 0.214
10 In 0.511 0.294 0.786
11 In 0.643 0.998 0.651
12 In 0.706 0.489 0.214
13 In 0.998 0.643 0.651

The calculated total energy is -32.70 eV per cell. As for the symmetry: C2/m (12). As for the formation energy from the elements: -0.122 eV/atom.



Record 8
A geometry-optimized ZrV3Cd structure. Source: Alexandria, functional PBE-GGA.

a b c (Å): 4.711 4.711 4.711
angles (deg): 90.00 90.00 90.00
Atoms (fractional coordinates):
1 Zr 0.000 0.000 0.000
2 V 0.000 0.000 0.500
3 V 0.000 0.500 0.000
4 V 0.500 0.000 0.000
5 Cd 0.500 0.500 0.500

The calculated total energy is -29.16 eV per cell. As for the symmetry: Pm-3m (221). As for the formation energy from the elements: 1.531 eV/atom.



Record 9
A geometry-optimized Cs2ZrVI6 structure. Source: Alexandria, functional PBE-GGA.

a b c (Å): 8.352 8.352 8.352
angles (deg): 60.00 60.00 60.00
Atoms (fractional coordinates):
1 Cs 0.250 0.250 0.250
2 Cs 0.750 0.750 0.750
3 Zr 0.000 0.000 0.000
4 V 0.500 0.500 0.500
5 I 0.252 0.252 0.748
6 I 0.252 0.748 0.252
7 I 0.252 0.748 0.748
8 I 0.748 0.252 0.252
9 I 0.748 0.252 0.748
10 I 0.748 0.748 0.252

The calculated total energy is -37.03 eV per cell. As for the symmetry: Fm-3m (225). The raw formation energy comes out at -835.4 meV per atom.



Record 10
A geometry-optimized CdGaSn structure. Source: Alexandria, functional PBE-GGA.

a b c (Å): 7.969 4.297 8.639
angles (deg): 90.00 90.00 90.00
Atoms (fractional coordinates):
1 Cd 0.007 0.250 0.144
2 Cd 0.493 0.750 0.644
3 Cd 0.507 0.250 0.356
4 Cd 0.993 0.750 0.856
5 Ga 0.226 0.750 0.415
6 Ga 0.274 0.250 0.915
7 Ga 0.726 0.750 0.085
8 Ga 0.774 0.250 0.585
9 Sn 0.134 0.250 0.619
10 Sn 0.366 0.750 0.119
11 Sn 0.634 0.250 0.881
12 Sn 0.866 0.750 0.381

The calculated total energy is -30.87 eV per cell. As for the symmetry: Pnma (62). As for the formation energy from the elements: 0.076 eV/atom.



Record 11
A geometry-optimized KNaBi2Pd structure. Source: Alexandria, functional PBE-GGA.

a b c (Å): 5.455 5.455 5.558
angles (deg): 90.00 90.00 90.00
Atoms (fractional coordinates):
1 K 0.000 0.000 0.000
2 Na 0.500 0.500 0.000
3 Bi 0.000 0.500 0.500
4 Bi 0.500 0.000 0.500
5 Pd 0.500 0.500 0.500

The calculated total energy is -16.32 eV per cell. As for the symmetry: P4/mmm (123). As for the formation energy from the elements: -0.190 eV/atom.



Record 12
A geometry-optimized Er6In3Co structure. Source: Alexandria, functional PBE-GGA.

a b c (Å): 9.082 11.247 5.087
angles (deg): 90.00 90.00 90.00
Atoms (fractional coordinates):
1 Er 0.022 0.226 0.000
2 Er 0.156 0.072 0.500
3 Er 0.194 0.407 0.500
4 Er 0.306 0.907 0.000
5 Er 0.344 0.572 0.000
6 Er 0.478 0.726 0.500
7 Er 0.522 0.274 0.500
8 Er 0.656 0.428 0.000
9 Er 0.694 0.093 0.000
10 Er 0.806 0.593 0.500
11 Er 0.844 0.928 0.500
12 Er 0.978 0.774 0.000
13 In 0.000 0.500 0.000
14 In 0.146 0.717 0.500
15 In 0.354 0.217 0.000
16 In 0.500 0.000 0.500
17 In 0.646 0.783 0.000
18 In 0.854 0.283 0.500
19 Co 0.000 0.000 0.000
20 Co 0.500 0.500 0.500

The calculated total energy is -90.90 eV per cell. As for the symmetry: Pnnm (58). As for the formation energy from the elements: -0.275 eV/atom.



- What is the formula in the third record?
  Sc7Al2Cd2